Entry a
Density functional theory data (PBEsol) for an optimized crystal structure of Cu2ReBr.

It has space group C2/m (No. 12), with a = 10.002 Å, b = 2.852 Å, c = 4.492 Å, α = 90.00°, β = 116.29° and γ = 90.00°. The inequivalent atoms are Cu at (0.249, 0.000, 0.248), Re at (0.000, 0.500, 0.000) and Br at (0.000, 0.000, 0.500).

As for the density of states at the Fermi level: 3.21 states/eV/f.u. The calculation puts the total magnetization at 0.0 Bohr magnetons per cell.

***

Entry b
Density functional theory data (PBEsol) for an optimized crystal structure of Cu2ReBr.

It has space group P4/mmm (No. 123), with a = 4.488 Å, b = 4.488 Å, c = 2.894 Å, α = 90.00°, β = 90.00° and γ = 90.00°. The inequivalent atoms are Cu at (0.000, 0.500, 0.000), Re at (0.000, 0.000, 0.500) and Br at (0.500, 0.500, 0.500).

As for the density of states at the Fermi level: 4.24 states/eV/f.u. The calculation puts the total magnetization at 0.3 Bohr magnetons per cell.

***

Energies relative to the most stable structure, in eV/atom: entry a 0.000; entry b 0.099.

***

Entry a
Density functional theory data (PBEsol) for an optimized crystal structure of CuSbBr.

It has space group Fmm2 (No. 42), with a = 3.565 Å, b = 5.936 Å, c = 13.110 Å, α = 90.00°, β = 90.00° and γ = 90.00°. The inequivalent atoms are Cu at (0.000, 0.000, 0.000), Sb at (0.000, 0.000, 0.358) and Br at (0.000, 0.000, 0.621).

As for the density of states at the Fermi level: 1.11 states/eV/f.u. The calculation puts the total magnetization at 0.0 Bohr magnetons per cell.

***

Entry b
Density functional theory data (PBEsol) for an optimized crystal structure of CuSbBr.

It has space group F-43m (No. 216), with a = 6.512 Å, b = 6.512 Å, c = 6.512 Å, α = 90.00°, β = 90.00° and γ = 90.00°. The inequivalent atoms are Cu at (0.000, 0.000, 0.000), Sb at (0.250, 0.250, 0.250) and Br at (0.250, 0.250, 0.750).

As for the density of states at the Fermi level: 3.75 states/eV/f.u. The calculation puts the total magnetization at 0.0 Bohr magnetons per cell.

***

Energies relative to the most stable structure, in eV/atom: entry a 0.000; entry b 0.433.

***

Entry a
Density functional theory data (PBEsol) for an optimized crystal structure of Cu2SbBr.

It has space group I4/mmm (No. 139), with a = 4.383 Å, b = 4.383 Å, c = 7.623 Å, α = 90.00°, β = 90.00° and γ = 90.00°. The inequivalent atoms are Cu at (0.000, 0.500, 0.250), Sb at (0.000, 0.000, 0.000) and Br at (0.000, 0.000, 0.500).

As for the density of states at the Fermi level: 2.83 states/eV/f.u. The calculation puts the total magnetization at 0.0 Bohr magnetons per cell.

***

Entry b
Density functional theory data (PBEsol) for an optimized crystal structure of Cu2SbBr.

It has space group P4/mmm (No. 123), with a = 3.235 Å, b = 3.235 Å, c = 6.998 Å, α = 90.00°, β = 90.00° and γ = 90.00°. The inequivalent atoms are Cu at (0.000, 0.000, 0.241), Sb at (0.500, 0.500, 0.000) and Br at (0.500, 0.500, 0.500).

As for the density of states at the Fermi level: 1.16 states/eV/f.u. The calculation puts the total magnetization at 0.0 Bohr magnetons per cell.

***

Energies relative to the most stable structure, in eV/atom: entry a 0.259; entry b 0.000.

***

Entry a
Density functional theory data (PBEsol) for an optimized crystal structure of CuSe2Br.

It has space group P4mm (No. 99), with a = 3.053 Å, b = 3.053 Å, c = 8.456 Å, α = 90.00°, β = 90.00° and γ = 90.00°. The inequivalent atoms are Cu at (0.000, 0.000, 0.000), Se at (0.000, 0.000, 0.428), Se at (0.500, 0.500, 0.180) and Br at (0.500, 0.500, 0.794).

As for the density of states at the Fermi level: 3.04 states/eV/f.u. The calculation puts the total magnetization at 0.0 Bohr magnetons per cell.

***

Entry b
Density functional theory data (PBEsol) for an optimized crystal structure of CuSe2Br.

It has space group Pmmm (No. 47), with a = 3.105 Å, b = 3.469 Å, c = 7.532 Å, α = 90.00°, β = 90.00° and γ = 90.00°. The inequivalent atoms are Cu at (0.000, 0.000, 0.000), Se at (0.500, 0.500, 0.163) and Br at (0.000, 0.000, 0.500).

As for the density of states at the Fermi level: 2.36 states/eV/f.u. The calculation puts the total magnetization at 0.0 Bohr magnetons per cell.

***

Entry c
Density functional theory data (PBEsol) for an optimized crystal structure of CuSe2Br.

It has space group Cmm2 (No. 35), with a = 3.467 Å, b = 6.858 Å, c = 7.688 Å, α = 90.00°, β = 90.00° and γ = 90.00°. The inequivalent atoms are Cu at (0.000, 0.000, 0.000), Se at (0.000, 0.000, 0.459), Se at (0.000, 0.500, 0.222) and Br at (0.000, 0.500, 0.790).

As for the density of states at the Fermi level: 2.22 states/eV/f.u. The calculation puts the total magnetization at 0.0 Bohr magnetons per cell.

***

Entry d
Density functional theory data (PBEsol) for an optimized crystal structure of CuSe2Br.

It has space group Fm-3m (No. 225), with a = 6.668 Å, b = 6.668 Å, c = 6.668 Å, α = 90.00°, β = 90.00° and γ = 90.00°. The inequivalent atoms are Cu at (0.000, 0.000, 0.000), Se at (0.250, 0.250, 0.250) and Br at (0.000, 0.000, 0.500).

As for the density of states at the Fermi level: 2.89 states/eV/f.u. The calculation puts the total magnetization at 0.0 Bohr magnetons per cell.

***

Energies relative to the most stable structure, in eV/atom: entry a 0.218; entry b 0.031; entry c 0.000; entry d 0.489.

***

Entry a
Density functional theory data (PBEsol) for an optimized crystal structure of CuSi2Br.

It has space group Fm-3m (No. 225), with a = 6.419 Å, b = 6.419 Å, c = 6.419 Å, α = 90.00°, β = 90.00° and γ = 90.00°. The inequivalent atoms are Cu at (0.000, 0.000, 0.000), Si at (0.250, 0.250, 0.250) and Br at (0.000, 0.000, 0.500).

As for the density of states at the Fermi level: 1.98 states/eV/f.u. The calculation puts the total magnetization at 0.0 Bohr magnetons per cell.

***

Entry b
Density functional theory data (PBEsol) for an optimized crystal structure of CuSi2Br.

It has space group Cmmm (No. 65), with a = 4.974 Å, b = 9.361 Å, c = 2.931 Å, α = 90.00°, β = 90.00° and γ = 90.00°. The inequivalent atoms are Cu at (0.000, 0.000, 0.000), Si at (0.250, 0.250, 0.500) and Br at (0.000, 0.500, 0.000).

As for the density of states at the Fermi level: 2.33 states/eV/f.u. The calculation puts the total magnetization at 0.0 Bohr magnetons per cell.

***

Energies relative to the most stable structure, in eV/atom: entry a 0.079; entry b 0.000.

***

Entry a
Density functional theory data (PBEsol) for an optimized crystal structure of CuSiBr.

It has space group I4mm (No. 107), with a = 3.316 Å, b = 3.316 Å, c = 10.810 Å, α = 90.00°, β = 90.00° and γ = 90.00°. The inequivalent atoms are Cu at (0.000, 0.000, 0.000), Si at (0.000, 0.000, 0.447) and Br at (0.000, 0.000, 0.235).

As for the density of states at the Fermi level: 0.83 states/eV/f.u. The calculation puts the total magnetization at 0.0 Bohr magnetons per cell.

***

Entry b
Density functional theory data (PBEsol) for an optimized crystal structure of CuSiBr.

It has space group F-43m (No. 216), with a = 6.373 Å, b = 6.373 Å, c = 6.373 Å, α = 90.00°, β = 90.00° and γ = 90.00°. The inequivalent atoms are Cu at (0.000, 0.000, 0.000), Si at (0.000, 0.000, 0.500) and Br at (0.250, 0.250, 0.750).

As for the density of states at the Fermi level: 1.02 states/eV/f.u. The calculation puts the total magnetization at 0.0 Bohr magnetons per cell.

***

Energies relative to the most stable structure, in eV/atom: entry a 0.000; entry b 1.015.

***

Entry a
Density functional theory data (PBEsol) for an optimized crystal structure of SrCuBr2.

It has space group Pm (No. 6), with a = 4.335 Å, b = 4.132 Å, c = 5.945 Å, α = 90.00°, β = 110.63° and γ = 90.00°. The inequivalent atoms are Sr at (0.000, 0.000, 0.000), Cu at (0.953, 0.500, 0.592), Br at (0.303, 0.000, 0.596) and Br at (0.580, 0.500, 0.159).

As for the density of states at the Fermi level: 1.58 states/eV/f.u. The calculation puts the total magnetization at 0.0 Bohr magnetons per cell.

***

Entry b
Density functional theory data (PBEsol) for an optimized crystal structure of SrCuBr2.

It has space group C2/m (No. 12), with a = 6.878 Å, b = 6.878 Å, c = 3.924 Å, α = 90.00°, β = 90.19° and γ = 90.00°. The inequivalent atoms are Sr at (0.000, 0.000, 0.000), Cu at (0.000, 0.500, 0.000) and Br at (0.250, 0.250, 0.500).

As for the density of states at the Fermi level: 1.04 states/eV/f.u. The calculation puts the total magnetization at 0.0 Bohr magnetons per cell.

***

Energies relative to the most stable structure, in eV/atom: entry a 0.000; entry b 0.108.

***

Entry a
Density functional theory data (PBEsol) for an optimized crystal structure of TaCu2Br.

It has space group R-3m (No. 166, hexagonal axes), with a = 3.0187 Å, b = 3.0187 Å, c = 24.5924 Å, α = 90.00°, β = 90.00° and γ = 120.00°. The inequivalent atoms are Ta at (0.0000, 0.0000, 0.0000), Cu at (0.0000, 0.0000, 0.2494) and Br at (0.0000, 0.0000, 0.5000).

As for the density of states at the Fermi level: 1.80 states/eV/f.u. The calculation puts the total magnetization at 0.0 Bohr magnetons per cell.

***

Entry b
Density functional theory data (PBEsol) for an optimized crystal structure of TaCu2Br.

It has space group Pmmm (No. 47), with a = 2.967 Å, b = 4.410 Å, c = 4.652 Å, α = 90.00°, β = 90.00° and γ = 90.00°. The inequivalent atoms are Ta at (0.000, 0.000, 0.000), Cu at (0.000, 0.500, 0.500), Cu at (0.500, 0.000, 0.500) and Br at (0.500, 0.500, 0.000).

As for the density of states at the Fermi level: 2.99 states/eV/f.u. The calculation puts the total magnetization at 0.0 Bohr magnetons per cell.

***

Energies relative to the most stable structure, in eV/atom: entry a 0.000; entry b 0.263.